Entry 1:
First-principles (PBE) data for an optimized crystal structure of DyTh2P3Ir12, as listed in Alexandria.

The space group is R-3m (No. 166, hexagonal axes) and the conventional cell measures 9.2254, 9.2254 and 12.9098 Å, with angles of 90.00, 90.00 and 120.00 degrees. The asymmetric unit holds Dy at (0.0000, 0.0000, 0.0000), Th at (0.0000, 0.0000, 0.3584), P at (0.0000, 0.5000, 0.5000), Ir at (0.0059, 0.5029, 0.3256) and Ir at (0.0101, 0.5051, 0.8804).

For the total energy, the calculation gives -434.6 eV for the cell shown.

=====

Entry 2:
First-principles (PBE) data for an optimized crystal structure of AcHoPS, as listed in Alexandria.

The space group is R3m (No. 160, hexagonal axes) and the conventional cell measures 4.0607, 4.0607 and 21.8536 Å, with angles of 90.00, 90.00 and 120.00 degrees. The asymmetric unit holds Ac at (0.0000, 0.0000, 0.0000), Ho at (0.0000, 0.0000, 0.8213), P at (0.0000, 0.0000, 0.4187) and S at (0.0000, 0.0000, 0.5710).

The formation energy without anion corrections comes out at -160 kJ/mol of atoms.

=====

Entry 3:
First-principles (PBE) data for an optimized crystal structure of YNb3Cu, as listed in Alexandria.

The space group is Pm-3m (No. 221) and the conventional cell measures 4.7980, 4.7980 and 4.7980 Å, with angles of 90.00, 90.00 and 90.00 degrees. The asymmetric unit holds Y at (0.0000, 0.0000, 0.0000), Nb at (0.0000, 0.5000, 0.5000) and Cu at (0.5000, 0.5000, 0.5000).

The relative energy among the computed polymorphs is 0.000 kcal/mol of atoms.

=====

Repeat the second record exactly.
First-principles (PBE) data for an optimized crystal structure of AcHoPS, as listed in Alexandria.

The space group is R3m (No. 160, hexagonal axes) and the conventional cell measures 4.0607, 4.0607 and 21.8536 Å, with angles of 90.00, 90.00 and 120.00 degrees. The asymmetric unit holds Ac at (0.0000, 0.0000, 0.0000), Ho at (0.0000, 0.0000, 0.8213), P at (0.0000, 0.0000, 0.4187) and S at (0.0000, 0.0000, 0.5710).

The formation energy without anion corrections comes out at -160 kJ/mol of atoms.

=====

- Which formula does entry 3 have?
  YNb3Cu